Entry 1:
Density functional theory data (GGA-PBE) for an optimized crystal structure of LiMg2Os.

Cell lengths 3.8927, 3.8927, 8.4501 Å; angles 90.00, 90.00, 90.00 degrees
Space group I-4m2 (No. 119)
One atom of each set of equivalent atoms:
Li (0.0000, 0.0000, 0.0000)
Mg (0.0000, 0.0000, 0.5000)
Mg (0.0000, 0.5000, 0.7500)
Os (0.0000, 0.5000, 0.2500)

Properties
**Crystal system**: tetragonal
**M_tot**: 0.003 μB/f.u.
**E_tot**: -15.35 eV per formula unit
**ρ**: 6.4 Mg/m³
**ΔE_f**: 0.25 eV/atom

=====

Entry 2:
Density functional theory data (GGA-PBE) for an optimized crystal structure of Cs3K2NaI6.

Cell lengths 9.0230, 15.6240, 9.1177 Å; angles 90.00, 109.36, 90.00 degrees
Space group C2/m (No. 12)
One atom of each set of equivalent atoms:
Cs (0.0000, 0.0000, 0.0000)
Cs (0.0000, 0.3296, 0.0000)
K (0.0000, 0.1659, 0.5000)
Na (0.0000, 0.5000, 0.5000)
I (0.2316, 0.3405, 0.7167)
I (0.2453, 0.5000, 0.2801)

Properties
**Crystal system**: monoclinic
**M_tot**: 0.000 μB/f.u.
**E_tot**: -32.88 eV per formula unit
**ρ**: 3.5 Mg/m³

=====

Entry 3:
Density functional theory data (GGA-PBE) for an optimized crystal structure of Tl3WBr2Cl6.

Cell lengths 16.1162, 8.8453, 5.7927 Å; angles 90.00, 90.99, 90.00 degrees
Space group C2/m (No. 12)
One atom of each set of equivalent atoms:
Tl (0.0000, 0.0000, 0.0000)
Tl (0.2500, 0.2500, 0.5000)
W (0.0000, 0.5000, 0.5000)
Br (0.1913, 0.0000, 0.1271)
Cl (0.0639, 0.3118, 0.7284)
Cl (0.1167, 0.5000, 0.2635)

Properties
**Crystal system**: monoclinic
**M_tot**: 1.002 μB/f.u.
**E_tot**: -44.66 eV per formula unit
**ρ**: 4.7 Mg/m³

=====

Entry 4:
Density functional theory data (GGA-PBE) for an optimized crystal structure of Ca3Ce3PuN8.

Cell lengths 7.1062, 7.1062, 16.9987 Å; angles 90.00, 90.00, 120.00 degrees
Space group R-3m (No. 166, hexagonal axes)
One atom of each set of equivalent atoms:
Ca (0.0000, 0.5000, 0.0000)
Ce (0.0000, 0.5000, 0.5000)
Pu (0.0000, 0.0000, 0.5000)
N (0.0000, 0.0000, 0.2411)
N (0.0351, 0.5176, 0.2321)

Properties
**Crystal system**: trigonal
**M_tot**: 2.227 μB/f.u.
**E_tot**: -122.65 eV per formula unit
**ρ**: 6.0 Mg/m³

=====

Q: The lowest ρ belongs to which entry?
A: Cs3K2NaI6